1.
# ErCdNO

Crystalline ErCdNO at its relaxed geometry (PBE, the Open Quantum Materials Database).

Unit cell a=8.061 b=6.419 c=4.857 alpha=90.00 beta=90.00 gamma=90.00
Element x y z (fractional)
Er 0.134 0.069 0.250
Er 0.134 0.431 0.750
Er 0.866 0.569 0.250
Er 0.866 0.931 0.750
Cd 0.369 0.566 0.250
Cd 0.369 0.934 0.750
Cd 0.631 0.066 0.250
Cd 0.631 0.434 0.750
N 0.119 0.084 0.750
N 0.119 0.416 0.250
N 0.881 0.584 0.750
N 0.881 0.916 0.250
O 0.379 0.580 0.750
O 0.379 0.920 0.250
O 0.621 0.080 0.750
O 0.621 0.420 0.250

* space-group type: No. 57
* relative energy among the computed polymorphs: 0.058 eV per atom



2.
# NpOs

Crystalline NpOs at its relaxed geometry (PBE, the Open Quantum Materials Database).

Unit cell a=3.895 b=3.895 c=3.895 alpha=60.00 beta=60.00 gamma=60.00
Element x y z (fractional)
Np 0.000 0.000 0.000
Os 0.500 0.500 0.500

* energy of formation: 311.8 meV per atom
* space-group type: No. 225



3.
# BaLiHfAu

Crystalline BaLiHfAu at its relaxed geometry (PBE, the Open Quantum Materials Database).

Unit cell a=5.258 b=5.258 c=5.258 alpha=60.00 beta=60.00 gamma=60.00
Element x y z (fractional)
Ba 0.000 0.000 0.000
Li 0.250 0.250 0.250
Hf 0.500 0.500 0.500
Au 0.750 0.750 0.750

* space-group type: No. 216
* relative energy among the computed polymorphs: 0.076 eV per atom



4.
# AgIrSO

Crystalline AgIrSO at its relaxed geometry (PBE, the Open Quantum Materials Database).

Unit cell a=3.662 b=3.662 c=8.614 alpha=90.00 beta=90.00 gamma=90.00
Element x y z (fractional)
Ag 0.250 0.750 0.000
Ag 0.750 0.250 0.000
Ir 0.250 0.250 0.361
Ir 0.750 0.750 0.639
S 0.250 0.250 0.763
S 0.750 0.750 0.237
O 0.250 0.750 0.500
O 0.750 0.250 0.500

* space-group type: No. 129
* relative energy among the computed polymorphs: 0.686 eV per atom



Q: Which formula does entry 4 have?
A: AgIrSO



Q: What is the formula in the third record?
A: BaLiHfAu